# RbAg2SnI

A geometry-optimized RbAg2SnI structure (PBE-GGA, Alexandria via LeMat-Bulk).

Space group ... P4/mmm, No. 123
Uncorrected formation energy ... 18.90 kcal/mol of atoms
Electronic total energy ... -1.6249 eV/atom

POSCAR file:
```
RbAg2SnI
1.0
5.925 0.000 0.000
0.000 5.925 0.000
0.000 0.000 6.427
Rb Ag Sn I
1 2 1 1
Cartesian
0.000 0.000 0.000
0.000 2.963 0.000
2.963 0.000 0.000
2.963 2.963 3.214
0.000 0.000 3.214
```

***

# RbAgSnI4

A geometry-optimized RbAgSnI4 structure (PBE-GGA, Alexandria via LeMat-Bulk).

Space group ... P2_1/m, No. 11
Uncorrected formation energy ... -15.56 kcal/mol of atoms
Electronic total energy ... -2.6780 eV/atom

POSCAR file:
```
RbAgSnI4
1.0
7.557 0.000 0.000
0.000 8.603 0.000
-3.099 0.000 9.400
Rb Ag Sn I
2 2 2 8
Cartesian
1.454 2.151 0.441
3.004 6.452 8.959
0.542 6.452 3.051
3.916 2.151 6.349
-0.125 2.151 5.193
4.583 6.452 4.207
-2.012 4.435 6.776
-2.012 8.470 6.776
2.964 6.452 1.495
1.853 6.452 5.580
2.605 2.151 3.821
1.494 2.151 7.905
6.470 0.133 2.624
6.470 4.168 2.624
```

***

# RbAgSnI6

A geometry-optimized RbAgSnI6 structure (PBE-GGA, Alexandria via LeMat-Bulk).

Space group ... P312, No. 149
Uncorrected formation energy ... -11.89 kcal/mol of atoms
Electronic total energy ... -2.4181 eV/atom

POSCAR file:
```
RbAgSnI6
1.0
7.772 0.000 0.000
-3.886 6.731 0.000
0.000 0.000 8.160
Rb Ag Sn I
1 1 1 6
Cartesian
0.000 0.000 0.000
3.886 2.244 4.080
0.000 4.487 4.080
-1.350 2.532 5.776
-2.368 4.295 2.385
1.350 2.532 2.385
-1.018 6.634 5.776
2.368 4.295 5.776
1.018 6.634 2.385
```

***

# Rb2SrAg2I7

A geometry-optimized Rb2SrAg2I7 structure (PBE-GGA, Alexandria via LeMat-Bulk).

Space group ... C2/m, No. 12
Uncorrected formation energy ... -20.69 kcal/mol of atoms
Electronic total energy ... -2.5783 eV/atom

POSCAR file:
```
Rb2SrAg2I7
1.0
4.106 -4.106 0.000
4.106 4.106 0.000
-4.106 0.000 14.837
Rb Sr Ag I
2 1 2 7
Cartesian
-0.005 0.000 5.284
4.111 0.000 9.553
0.000 0.000 0.000
0.006 0.000 11.842
4.101 0.000 2.995
2.047 2.051 2.421
0.003 0.000 8.970
2.060 2.051 12.416
4.106 0.000 0.000
2.047 -2.051 2.421
4.103 0.000 5.867
2.060 -2.051 12.416
```

***

# Rb2SrAgI5

A geometry-optimized Rb2SrAgI5 structure (PBE-GGA, Alexandria via LeMat-Bulk).

Space group ... Cmc2_1, No. 36
Uncorrected formation energy ... -30.02 kcal/mol of atoms
Electronic total energy ... -2.8816 eV/atom

POSCAR file:
```
Rb2SrAgI5
1.0
2.434 -10.800 0.000
2.434 10.800 0.000
0.000 0.000 15.466
Rb Sr Ag I
4 2 2 10
Cartesian
2.434 8.355 7.733
2.434 8.211 2.253
2.434 -8.211 9.986
2.434 -8.355 0.000
2.434 6.497 12.942
2.434 -6.497 5.209
2.434 1.286 3.763
2.434 -1.286 11.496
2.434 9.795 13.003
2.434 4.428 7.466
2.434 4.195 2.910
2.434 3.242 12.753
2.434 0.013 9.006
2.434 -0.013 1.273
2.434 -3.242 5.020
2.434 -4.195 10.643
2.434 -4.428 15.199
2.434 -9.795 5.270
```

***

# RbSr3Ag4I12

A geometry-optimized RbSr3Ag4I12 structure (PBE-GGA, Alexandria via LeMat-Bulk).

Space group ... R32, No. 155
Uncorrected formation energy ... -21.65 kcal/mol of atoms
Electronic total energy ... -2.7399 eV/atom

POSCAR file:
```
RbSr3Ag4I12
1.0
8.373 4.834 4.198
-8.373 4.834 4.198
0.000 -9.668 4.198
Rb Sr Ag I
1 3 4 12
Cartesian
0.000 0.000 0.000
-4.673 -1.573 4.198
3.699 -3.261 4.198
0.974 4.834 4.198
-3.554 -6.155 6.296
0.000 0.000 6.296
-3.554 6.155 6.296
7.108 0.000 6.296
-5.384 -4.161 6.092
-6.777 0.000 6.296
-0.912 -6.743 6.501
-2.734 0.000 6.296
-5.384 4.161 6.501
3.388 -5.869 6.296
1.367 -2.368 6.296
-0.912 6.743 6.092
1.367 2.368 6.296
6.296 -2.582 6.092
3.388 5.869 6.296
6.296 2.582 6.501
```